{"formula": "Mg3In4Sn2", "functional": "PBE-GGA", "state": "optimized geometry", "cell": [[-1.794, -4.145, 3.325], [6.672, 0.570, 6.475], [-2.991, 5.247, 7.091]], "species": ["In", "In", "In", "In", "In", "In", "In", "In", "Mg", "Mg", "Mg", "Mg", "Mg", "Mg", "Sn", "Sn", "Sn", "Sn"], "frac_coords": [[0.477, 0.934, 0.179], [0.523, 0.066, 0.821], [0.977, 0.179, 0.934], [0.804, 0.265, 0.519], [0.023, 0.821, 0.066], [0.196, 0.735, 0.481], [0.304, 0.519, 0.265], [0.696, 0.481, 0.735], [0.581, 0.707, 0.952], [0.419, 0.293, 0.048], [0.081, 0.952, 0.707], [0.750, 0.626, 0.374], [0.250, 0.374, 0.626], [0.919, 0.048, 0.293], [0.859, 0.407, 0.153], [0.359, 0.153, 0.407], [0.141, 0.593, 0.847], [0.641, 0.847, 0.593]], "total_energy_ev_per_atom": -2.693, "ef_ev_per_atom": -0.055}